This record from OQMD via LeMat-Bulk describes a relaxed structure of CsNbAsO. The functional is PBE. Values from VASP.

Structure (Quantum ESPRESSO input):
```
&SYSTEM
  ibrav = 0, nat = 8, ntyp = 4
/
ATOMIC_SPECIES
Cs 132.91 Cs.upf
Nb 92.91 Nb.upf
As 74.92 As.upf
O 16.00 O.upf
ATOMIC_POSITIONS angstrom
Cs 0.0000 1.5710 0.0000
Cs 0.0000 7.1996 3.4230
Nb 1.9593 3.6053 3.8478
Nb 1.9593 5.1653 0.4248
As 0.0000 2.0753 3.4004
As 0.0000 6.6952 6.8233
O 1.9593 3.8288 5.8171
O 1.9593 4.9417 2.3942
CELL_PARAMETERS angstrom
3.9186 0.0000 0.0000
0.0000 8.7706 0.0000
0.0000 0.0000 6.8459
```

Mass density, Mg/m³: 4.5
Electronic total energy, eV per atom: -6.1848